VAgRh3 PBE-GGA relaxed; crystal system = cubic; distance to the lowest polymorph of the same formula = 1185.6 meV/atom; calculated formation energy = 9.2 eV/f.u.
1.0
-2.940 -3.654 0.815
1.740 -0.417 4.411
-3.315 3.023 1.593
Rh Ag V
3 1 1
Direct
0.500 0.000 0.000 Rh
0.000 0.000 0.500 Rh
0.000 0.500 0.000 Rh
0.000 0.000 0.000 Ag
0.500 0.500 0.500 V

***

CsZrB3 PBE-GGA relaxed; crystal system = cubic; distance to the lowest polymorph of the same formula = 1429.5 meV/atom; calculated formation energy = 15.1 eV/f.u.
1.0
4.516 0.000 0.000
0.000 4.516 0.000
0.000 0.000 4.516
Zr Cs B
1 1 3
Direct
0.500 0.500 0.500 Zr
0.000 0.000 0.000 Cs
0.000 0.000 0.500 B
0.500 0.000 0.000 B
0.000 0.500 0.000 B